VASP calculation (PBE-GGA) on a relaxed CeDy5Ho4 crystal.

extended XYZ file:
```
10
Lattice="8.8126 -1.7295 0.0000 8.8126 1.7295 0.0000 -3.1849 0.0000 10.3188" Properties=species:S:1:pos:R:3 pbc="T T T"
Ce 0.0000 0.0000 0.0000
Dy -1.5924 0.0000 5.1594
Dy 3.8912 0.0000 4.1342
Dy 4.6843 0.0000 7.3705
Dy 9.7560 0.0000 2.9482
Dy 10.5491 0.0000 6.1846
Ho 3.1966 0.0000 0.8552
Ho 6.5509 0.0000 1.9828
Ho 7.8894 0.0000 8.3360
Ho 11.2437 0.0000 9.4635
```

Output
DFT total energy: -46.1 eV per cell
energy relative to the elements: 10.7 kJ per mole of atoms
space-group type: C2/m (12)